Entry 1:
The following is a DFT calculation (PBE-GGA) of CsYCu2F8 after structural relaxation.

Calculated values
Raw formation energy in eV per atom: -2.470
DFT total energy in eV per atom: -5.01

Unit cell a=5.7308 b=5.7308 c=23.3173 alpha=90.00 beta=90.00 gamma=120.00
Space group R-3 (No. 148, hexagonal axes)
One atom of each set of equivalent atoms:
Cs: 0.0000 0.0000 0.0000 [3 per cell]
Y: 0.0000 0.0000 0.5000 [3 per cell]
Cu: 0.0000 0.0000 0.2445 [6 per cell]
F: 0.0000 0.0000 0.3224 [6 per cell]
F: 0.0082 0.3589 0.1134 [18 per cell]

Entry 2:
The following is a DFT calculation (PBE-GGA) of Cs2YCu3F12 after structural relaxation.

Calculated values
Raw formation energy in eV per atom: -2.404
DFT total energy in eV per atom: -4.79

Unit cell a=7.4970 b=7.4970 c=18.6345 alpha=90.00 beta=90.00 gamma=120.00
Space group R-3m (No. 166, hexagonal axes)
One atom of each set of equivalent atoms:
Cs: 0.0000 0.0000 0.1119 [6 per cell]
Y: 0.0000 0.0000 0.5000 [3 per cell]
Cu: 0.0000 0.5000 0.0000 [9 per cell]
F: 0.0402 0.5201 0.1072 [18 per cell]
F: 0.0773 0.5387 0.3417 [18 per cell]

Entry 3:
The following is a DFT calculation (PBE-GGA) of CsZnCu2F8 after structural relaxation.

Calculated values
Raw formation energy in eV per atom: -1.795
DFT total energy in eV per atom: -3.90

Unit cell a=5.5027 b=5.5027 c=22.7267 alpha=90.00 beta=90.00 gamma=120.00
Space group R-3 (No. 148, hexagonal axes)
One atom of each set of equivalent atoms:
Cs: 0.0000 0.0000 0.0000 [3 per cell]
Zn: 0.0000 0.0000 0.5000 [3 per cell]
Cu: 0.0000 0.0000 0.2276 [6 per cell]
F: 0.0000 0.0000 0.3078 [6 per cell]
F: 0.0024 0.3116 0.4513 [18 per cell]